No. 1
Computed, not measured: a relaxed structure of Lu3P2Se at the PBE-GGA level of DFT.

Lattice parameters (Å, degrees): 3.9319 3.9319 9.7163 90.00 90.00 120.00
Sites, in units of the cell vectors:
Lu 0.0000 0.0000 0.0000
Lu 0.3333 0.6667 0.6872
Lu 0.6667 0.3333 0.3128
P 0.3333 0.6667 0.1640
P 0.6667 0.3333 0.8360
Se 0.0000 0.0000 0.5000

Space-group type = P-3m1
E = -38.0 eV per cell

No. 2
Computed, not measured: a relaxed structure of Sr3Lu2P4 at the PBE-GGA level of DFT.

Lattice parameters (Å, degrees): 6.8146 17.0998 4.4186 90.00 90.00 90.00
Sites, in units of the cell vectors:
Sr 0.0000 0.0000 0.0000
Sr 0.2403 0.1963 0.0000
Sr 0.2597 0.6963 0.5000
Sr 0.5000 0.5000 0.5000
Sr 0.7403 0.3037 0.5000
Sr 0.7597 0.8037 0.0000
Lu 0.1366 0.4127 0.0000
Lu 0.3634 0.9127 0.5000
Lu 0.6366 0.0873 0.5000
Lu 0.8634 0.5873 0.0000
P 0.2400 0.3314 0.5000
P 0.2456 0.5664 0.0000
P 0.2544 0.0664 0.5000
P 0.2600 0.8314 0.0000
P 0.7400 0.1686 0.0000
P 0.7456 0.9336 0.5000
P 0.7544 0.4336 0.0000
P 0.7600 0.6686 0.5000

Space-group type = Pnnm
E = -92.9 eV per cell

No. 3
Computed, not measured: a relaxed structure of Tm2LuP3 at the PBE-GGA level of DFT.

Lattice parameters (Å, degrees): 3.9369 3.9369 9.6339 90.00 90.00 120.00
Sites, in units of the cell vectors:
Tm 0.3333 0.6667 0.3327
Tm 0.6667 0.3333 0.6673
Lu 0.0000 0.0000 0.0000
P 0.0000 0.0000 0.5000
P 0.3333 0.6667 0.8350
P 0.6667 0.3333 0.1650

Space-group type = P-3m1
E = -39.3 eV per cell

No. 4
Computed, not measured: a relaxed structure of Lu2Pa at the PBE-GGA level of DFT.

Lattice parameters (Å, degrees): 9.5649 9.5649 9.5649 60.00 60.00 60.00
Sites, in units of the cell vectors:
Lu 0.0000 0.0000 0.0000
Lu 0.0000 0.0000 0.5000
Lu 0.0000 0.5000 0.0000
Lu 0.5000 0.0000 0.0000
Pa 0.1250 0.1250 0.1250
Pa 0.8750 0.8750 0.8750

Energy relative to the elements = 2956 meV/atom
Space-group type = Fd-3m

No. 5
Computed, not measured: a relaxed structure of PrLuPa at the PBE-GGA level of DFT.

Lattice parameters (Å, degrees): 5.2715 5.2715 5.2715 60.00 60.00 60.00
Sites, in units of the cell vectors:
Pr 0.0000 0.0000 0.0000
Lu 0.7500 0.7500 0.7500
Pa 0.5000 0.5000 0.5000

Energy relative to the elements = 1065 meV/atom
Space-group type = F-43m

No. 6
Computed, not measured: a relaxed structure of LuPaPt at the PBE-GGA level of DFT.

Lattice parameters (Å, degrees): 4.8114 4.8114 4.8114 60.00 60.00 60.00
Sites, in units of the cell vectors:
Lu 0.0000 0.0000 0.0000
Pa 0.5000 0.5000 0.5000
Pt 0.2500 0.2500 0.2500

Energy relative to the elements = -442 meV/atom
Space-group type = F-43m

No. 7
Computed, not measured: a relaxed structure of LuPuPa at the PBE-GGA level of DFT.

Lattice parameters (Å, degrees): 4.7450 4.7450 4.7450 60.00 60.00 60.00
Sites, in units of the cell vectors:
Lu 0.0000 0.0000 0.0000
Pu 0.2500 0.2500 0.2500
Pa 0.5000 0.5000 0.5000

Energy relative to the elements = 782 meV/atom
Space-group type = F-43m

No. 8
Computed, not measured: a relaxed structure of RbLuPa at the PBE-GGA level of DFT.

Lattice parameters (Å, degrees): 5.7909 5.7909 5.7909 60.00 60.00 60.00
Sites, in units of the cell vectors:
Rb 0.0000 0.0000 0.0000
Lu 0.5000 0.5000 0.5000
Pa 0.7500 0.7500 0.7500

Space-group type = F-43m
E = -9.2 eV per cell

No. 9
Computed, not measured: a relaxed structure of LuPaRe at the PBE-GGA level of DFT.

Lattice parameters (Å, degrees): 4.7454 4.7454 4.7454 60.00 60.00 60.00
Sites, in units of the cell vectors:
Lu 0.0000 0.0000 0.0000
Pa 0.5000 0.5000 0.5000
Re 0.7500 0.7500 0.7500

Energy relative to the elements = 178 meV/atom
Space-group type = F-43m

No. 10
Computed, not measured: a relaxed structure of Lu3PaSe at the PBE-GGA level of DFT.

Lattice parameters (Å, degrees): 5.2702 5.2702 5.2702 90.00 90.00 90.00
Sites, in units of the cell vectors:
Lu 0.0000 0.0000 0.5000
Lu 0.0000 0.5000 0.0000
Lu 0.5000 0.0000 0.0000
Pa 0.5000 0.5000 0.5000
Se 0.0000 0.0000 0.0000

Space-group type = Pm-3m
E = -26.8 eV per cell

No. 11
Computed, not measured: a relaxed structure of LuPaSn at the PBE-GGA level of DFT.

Lattice parameters (Å, degrees): 5.0757 5.0757 5.0757 60.00 60.00 60.00
Sites, in units of the cell vectors:
Lu 0.0000 0.0000 0.0000
Pa 0.5000 0.5000 0.5000
Sn 0.2500 0.2500 0.2500

Space-group type = F-43m
E = -17.3 eV per cell

No. 12
Computed, not measured: a relaxed structure of LuPaTa at the PBE-GGA level of DFT.

Lattice parameters (Å, degrees): 4.8269 4.8269 4.8269 60.00 60.00 60.00
Sites, in units of the cell vectors:
Lu 0.0000 0.0000 0.0000
Pa 0.7500 0.7500 0.7500
Ta 0.2500 0.2500 0.2500

Energy relative to the elements = 1291 meV/atom
Space-group type = F-43m

Result set for total moment: 0.0, 0.0, 0.0, 2.4, 0.9, 0.9, 8.1, 4.5, 0.2, 0.8, 1.7, 0.8 μB/f.u., one per record in the order listed.